Below is crystalline Ag3RhF at its relaxed geometry, with properties calculated at the PBE-GGA level.

For the uncorrected formation energy, the calculation gives 0.78 eV/atom. As for the spin magnetization: 1.0 Bohr magnetons per cell. The value obtained for the energy relative to the lowest polymorph listed for this composition is 2.19 eV per formula unit. Its volume is 132 Å³/cell. For the density of states at the Fermi level, the calculation gives 4.4 states/eV per cell.

The structure belongs to space group Pm-3m (No. 221); the cell edges are 5.096, 5.096 and 5.096 Å and the angles 90.00°, 90.00° and 90.00°. The asymmetric unit holds Ag at (0.000, 0.000, 0.500), Rh at (0.000, 0.000, 0.000) and F at (0.500, 0.500, 0.500).


Below is crystalline Ag5Rh2F12 at its relaxed geometry, with properties calculated at the PBE-GGA level.

For the uncorrected formation energy, the calculation gives -1.23 eV/atom. As for the spin magnetization: 0.0 Bohr magnetons per cell. Its volume is 587 Å³/cell. For the density of states at the Fermi level, the calculation gives 16.7 states/eV per cell.

The structure belongs to space group C2/m (No. 12); the cell edges are 13.072, 6.238 and 7.552 Å and the angles 90.00°, 107.64° and 90.00°. The asymmetric unit holds Ag at (0.000, 0.000, 0.000), Ag at (0.201, 0.500, 0.301), Ag at (0.211, 0.500, 0.897), Rh at (0.000, 0.251, 0.500), F at (0.000, 0.000, 0.329), F at (0.000, 0.500, 0.325), F at (0.133, 0.237, 0.058) and F at (0.161, 0.262, 0.585).


Below is crystalline Ag3RhF7 at its relaxed geometry, with properties calculated at the PBE-GGA level.

For the uncorrected formation energy, the calculation gives -1.26 eV/atom. As for the spin magnetization: 2.1 Bohr magnetons per cell. Its volume is 335 Å³/cell. For the density of states at the Fermi level, the calculation gives 20.6 states/eV per cell.

The structure belongs to space group Cm (No. 8); the cell edges are 8.275, 7.587 and 6.300 Å and the angles 90.00°, 122.14° and 90.00°. The asymmetric unit holds Ag at (0.000, 0.000, 0.000), Ag at (0.498, 0.244, 0.525), Rh at (0.496, 0.000, 0.013), F at (0.129, 0.500, 0.824), F at (0.146, 0.308, 0.246), F at (0.346, 0.197, 0.782), F at (0.347, 0.000, 0.178) and F at (0.489, 0.500, 0.358).